(1)
Crystalline Na3NiAu at its relaxed geometry. Source: Alexandria via LeMat-Bulk, functional PBE.

As for the energy above the lowest structure with this stoichiometry: 0.000 eV/atom. Its space group is Pm-3m, No. 221. The value obtained for the energy relative to the elements is 457 meV per atom. The calculated density comes out at 3.8 Mg/m³. The value obtained for the total energy is -10.73 eV per cell.

Unit cell a=5.222 b=5.222 c=5.222 alpha=90.00 beta=90.00 gamma=90.00
Sites, in units of the cell vectors:
Na1 0.000 0.000 0.500
Na2 0.000 0.500 0.000
Na3 0.500 0.000 0.000
Ni1 0.000 0.000 0.000
Au1 0.500 0.500 0.500

(2)
Crystalline Y2ScAl at its relaxed geometry. Source: Alexandria via LeMat-Bulk, functional PBE.

Its space group is R3m, No. 160. The value obtained for the energy relative to the elements is -57 meV per atom. The calculated density comes out at 3.8 Mg/m³. The value obtained for the total energy is -23.23 eV per cell.

Unit cell a=10.372 b=10.372 c=10.372 alpha=19.52 beta=19.52 gamma=19.52
Sites, in units of the cell vectors:
Y1 0.000 0.000 0.000
Y2 0.182 0.182 0.182
Sc1 0.424 0.424 0.424
Al1 0.591 0.591 0.591

(3)
Crystalline Mg6Hg12Pb at its relaxed geometry. Source: Alexandria via LeMat-Bulk, functional PBE.

As for the energy above the lowest structure with this stoichiometry: 0.000 eV/atom. Its space group is R-3, No. 148. The value obtained for the energy relative to the elements is -88 meV per atom. The calculated density comes out at 10.3 Mg/m³. The value obtained for the total energy is -18.58 eV per cell.

Unit cell a=8.567 b=8.567 c=8.567 alpha=111.39 beta=111.39 gamma=111.39
Sites, in units of the cell vectors:
Mg1 0.050 0.336 0.559
Mg2 0.336 0.559 0.050
Mg3 0.441 0.950 0.664
Mg4 0.559 0.050 0.336
Mg5 0.664 0.441 0.950
Mg6 0.950 0.664 0.441
Hg1 0.121 0.739 0.187
Hg2 0.187 0.121 0.739
Hg3 0.201 0.485 0.346
Hg4 0.261 0.813 0.879
Hg5 0.346 0.201 0.485
Hg6 0.485 0.346 0.201
Hg7 0.515 0.654 0.799
Hg8 0.654 0.799 0.515
Hg9 0.739 0.187 0.121
Hg10 0.799 0.515 0.654
Hg11 0.813 0.879 0.261
Hg12 0.879 0.261 0.813
Pb1 0.000 0.000 0.000

(4)
Crystalline Ti4FeIr5 at its relaxed geometry. Source: Alexandria via LeMat-Bulk, functional PBE.

Its space group is P4/mmm, No. 123. The value obtained for the energy relative to the elements is -675 meV per atom. The calculated density comes out at 13.5 Mg/m³. The value obtained for the total energy is -91.09 eV per cell.

Unit cell a=3.207 b=3.207 c=14.471 alpha=90.00 beta=90.00 gamma=90.00
Sites, in units of the cell vectors:
Ti1 0.000 0.000 0.104
Ti2 0.000 0.000 0.313
Ti3 0.000 0.000 0.687
Ti4 0.000 0.000 0.896
Fe1 0.000 0.000 0.500
Ir1 0.500 0.500 0.000
Ir2 0.500 0.500 0.203
Ir3 0.500 0.500 0.404
Ir4 0.500 0.500 0.596
Ir5 0.500 0.500 0.797

(5)
Crystalline CsKBeTe2 at its relaxed geometry. Source: Alexandria via LeMat-Bulk, functional PBE.

Its space group is P2/c, No. 13. The value obtained for the uncorrected formation energy is -0.71 eV/atom. The calculated density comes out at 3.1 Mg/m³. The value obtained for the total energy is -31.07 eV per cell.

Unit cell a=8.613 b=5.553 c=10.100 alpha=90.00 beta=106.06 gamma=90.00
Sites, in units of the cell vectors:
Cs1 0.000 0.225 0.250
Cs2 0.000 0.775 0.750
K1 0.500 0.090 0.750
K2 0.500 0.910 0.250
Be1 0.500 0.500 0.000
Be2 0.500 0.500 0.500
Te1 0.273 0.303 0.989
Te2 0.273 0.697 0.489
Te3 0.727 0.303 0.511
Te4 0.727 0.697 0.011

(6)
Crystalline KCd2AsIr at its relaxed geometry. Source: Alexandria via LeMat-Bulk, functional PBE.

Its space group is P4/mmm, No. 123. The value obtained for the energy relative to the elements is -72 meV per atom. The calculated density comes out at 6.5 Mg/m³. The value obtained for the total energy is -16.80 eV per cell.

Unit cell a=5.341 b=5.341 c=4.747 alpha=90.00 beta=90.00 gamma=90.00
Sites, in units of the cell vectors:
K1 0.000 0.000 0.000
Cd1 0.000 0.500 0.500
Cd2 0.500 0.000 0.500
As1 0.500 0.500 0.000
Ir1 0.500 0.500 0.500

(7)
Crystalline Ce5Zn at its relaxed geometry. Source: Alexandria via LeMat-Bulk, functional PBE.

As for the energy above the lowest structure with this stoichiometry: 0.041 eV/atom. Its space group is Cmmm, No. 65. The value obtained for the energy relative to the elements is 13 meV per atom. The calculated density comes out at 8.5 Mg/m³. The value obtained for the total energy is -30.87 eV per cell.

Unit cell a=5.670 b=5.670 c=5.450 alpha=90.00 beta=90.00 gamma=121.30
Sites, in units of the cell vectors:
Ce1 0.000 0.000 0.000
Ce2 0.143 0.857 0.500
Ce3 0.331 0.669 0.000
Ce4 0.669 0.331 0.000
Ce5 0.857 0.143 0.500
Zn1 0.500 0.500 0.500

(8)
Crystalline SrSbTe2N at its relaxed geometry. Source: Alexandria via LeMat-Bulk, functional PBE.

As for the energy above the lowest structure with this stoichiometry: 0.000 eV/atom. Its space group is P4/mmm, No. 123. The value obtained for the uncorrected formation energy is 0.00 eV/atom. The calculated density comes out at 5.5 Mg/m³. The value obtained for the total energy is -20.43 eV per cell.

Unit cell a=5.946 b=5.946 c=4.088 alpha=90.00 beta=90.00 gamma=90.00
Sites, in units of the cell vectors:
Sr1 0.000 0.000 0.000
Sb1 0.500 0.500 0.500
Te1 0.000 0.500 0.500
Te2 0.500 0.000 0.500
N1 0.500 0.500 0.000

(9)
Crystalline BaRe2Cl at its relaxed geometry. Source: Alexandria via LeMat-Bulk, functional PBE.

As for the energy above the lowest structure with this stoichiometry: 0.344 eV/atom. Its space group is P2/m, No. 10. The value obtained for the uncorrected formation energy is 0.46 eV/atom. The calculated density comes out at 8.0 Mg/m³. The value obtained for the total energy is -26.84 eV per cell.

Unit cell a=3.573 b=6.657 c=4.770 alpha=90.00 beta=90.39 gamma=90.00
Sites, in units of the cell vectors:
Ba1 0.000 0.000 0.000
Re1 0.246 0.500 0.842
Re2 0.754 0.500 0.158
Cl1 0.500 0.000 0.500

(10)
Crystalline HgAsBr2 at its relaxed geometry. Source: Alexandria via LeMat-Bulk, functional PBE.

As for the energy above the lowest structure with this stoichiometry: 0.274 eV/atom. Its space group is C2/m, No. 12. The value obtained for the uncorrected formation energy is 0.15 eV/atom. The calculated density comes out at 6.3 Mg/m³. The value obtained for the total energy is -7.70 eV per cell.

Unit cell a=5.781 b=5.781 c=3.417 alpha=90.17 beta=90.17 gamma=90.03
Sites, in units of the cell vectors:
Hg1 0.000 0.000 0.000
As1 0.500 0.500 0.000
Br1 0.000 0.500 0.000
Br2 0.500 0.000 0.000

(11)
Crystalline PmNd4Cu5 at its relaxed geometry. Source: Alexandria via LeMat-Bulk, functional PBE.

Its space group is P4/mmm, No. 123. The value obtained for the energy relative to the elements is -145 meV per atom. The calculated density comes out at 7.5 Mg/m³. The value obtained for the total energy is -45.76 eV per cell.

Unit cell a=3.571 b=3.571 c=18.099 alpha=90.00 beta=90.00 gamma=90.00
Sites, in units of the cell vectors:
Pm1 0.000 0.000 0.000
Nd1 0.000 0.000 0.199
Nd2 0.000 0.000 0.400
Nd3 0.000 0.000 0.600
Nd4 0.000 0.000 0.801
Cu1 0.500 0.500 0.098
Cu2 0.500 0.500 0.299
Cu3 0.500 0.500 0.500
Cu4 0.500 0.500 0.701
Cu5 0.500 0.500 0.902

(12)
Crystalline K2CeHoSe4 at its relaxed geometry. Source: Alexandria via LeMat-Bulk, functional PBE.

Its space group is P2/m, No. 10. The value obtained for the uncorrected formation energy is -1.72 eV/atom. The calculated density comes out at 4.7 Mg/m³. The value obtained for the total energy is -40.39 eV per cell.

Unit cell a=7.434 b=4.291 c=8.065 alpha=90.00 beta=107.85 gamma=90.00
Sites, in units of the cell vectors:
K1 0.000 0.000 0.000
K2 0.500 0.500 0.000
Ce1 0.000 0.500 0.500
Ho1 0.500 0.000 0.500
Se1 0.245 0.000 0.708
Se2 0.273 0.500 0.295
Se3 0.727 0.500 0.705
Se4 0.755 0.000 0.292

(13)
Crystalline Na4Th3CdTe8 at its relaxed geometry. Source: Alexandria via LeMat-Bulk, functional PBE.

Its space group is R-3m, No. 166. The value obtained for the uncorrected formation energy is -1.00 eV/atom. The calculated density comes out at 6.0 Mg/m³. The value obtained for the total energy is -69.55 eV per cell.

Unit cell a=9.140 b=9.140 c=9.140 alpha=59.19 beta=59.19 gamma=59.19
Sites, in units of the cell vectors:
Na1 0.000 0.000 0.000
Na2 0.000 0.500 0.500
Na3 0.500 0.000 0.500
Na4 0.500 0.500 0.000
Th1 0.000 0.000 0.500
Th2 0.000 0.500 0.000
Th3 0.500 0.000 0.000
Cd1 0.500 0.500 0.500
Te1 0.247 0.744 0.744
Te2 0.248 0.248 0.248
Te3 0.256 0.256 0.753
Te4 0.256 0.753 0.256
Te5 0.744 0.247 0.744
Te6 0.744 0.744 0.247
Te7 0.752 0.752 0.752
Te8 0.753 0.256 0.256

(14)
Crystalline Na3Er3ScSe8 at its relaxed geometry. Source: Alexandria via LeMat-Bulk, functional PBE.

Its space group is C2/m, No. 12. The value obtained for the uncorrected formation energy is -1.60 eV/atom. The calculated density comes out at 5.2 Mg/m³. The value obtained for the total energy is -75.80 eV per cell.

Unit cell a=8.081 b=8.081 c=8.495 alpha=118.45 beta=118.45 gamma=59.97
Sites, in units of the cell vectors:
Na1 0.000 0.000 0.000
Na2 0.000 0.500 0.000
Na3 0.500 0.000 0.000
Er1 0.000 0.500 0.500
Er2 0.500 0.000 0.500
Er3 0.500 0.500 0.500
Sc1 0.000 0.000 0.500
Se1 0.235 0.235 0.721
Se2 0.235 0.750 0.721
Se3 0.250 0.765 0.279
Se4 0.257 0.257 0.270
Se5 0.743 0.743 0.730
Se6 0.750 0.235 0.721
Se7 0.765 0.250 0.279
Se8 0.765 0.765 0.279

(15)
Crystalline Cs3TmTa2O8 at its relaxed geometry. Source: Alexandria via LeMat-Bulk, functional PBE.

Its space group is P-3m1, No. 164. The value obtained for the uncorrected formation energy is -2.69 eV/atom. The calculated density comes out at 6.0 Mg/m³. The value obtained for the total energy is -108.13 eV per cell.

Unit cell a=6.318 b=6.318 c=8.536 alpha=90.00 beta=90.00 gamma=120.00
Sites, in units of the cell vectors:
Cs1 0.000 0.000 0.000
Cs2 0.333 0.667 0.731
Cs3 0.667 0.333 0.269
Tm1 0.000 0.000 0.500
Ta1 0.333 0.667 0.281
Ta2 0.667 0.333 0.719
O1 0.169 0.338 0.349
O2 0.169 0.831 0.349
O3 0.333 0.667 0.067
O4 0.338 0.169 0.651
O5 0.662 0.831 0.349
O6 0.667 0.333 0.933
O7 0.831 0.169 0.651
O8 0.831 0.662 0.651